The following is a PBE calculation of a geometry-optimized Pu3Be5S12 structure, from Alexandria. Values from VASP.

- Crystal system: cubic
- Space-group type: Ia-3d
- D(E_F): 28.6 states/eV/f.u.
- Formation energy without anion corrections: -0.938 eV/atom

Structure (Quantum ESPRESSO input):
```
&SYSTEM
  ibrav = 0, nat = 80, ntyp = 3
/
ATOMIC_SPECIES
S 32.06 S.upf
Be 9.01 Be.upf
Pu 244.00 Pu.upf
ATOMIC_POSITIONS angstrom
S 6.365 -3.733 6.817
S 1.432 -5.263 -0.835
S -1.005 1.009 9.352
S 7.111 -3.348 0.577
S 10.105 -6.541 -1.159
S 4.472 0.798 6.807
S 3.323 -0.618 11.007
S 5.327 -9.197 -1.292
S 1.071 -3.711 2.028
S 3.133 -1.998 4.079
S -1.317 -6.814 -0.937
S 3.681 -7.738 5.885
S -2.789 -4.840 7.483
S -2.881 -7.860 6.164
S 0.335 -5.083 7.867
S 5.638 -1.374 8.997
S -0.151 -8.986 1.252
S 1.702 -0.717 6.754
S 3.251 -4.476 6.032
S 7.789 1.669 6.119
S -2.044 -4.454 1.243
S 7.203 -0.328 1.895
S -3.467 -9.857 1.941
S 2.889 -2.925 8.895
S -1.905 -6.969 3.148
S -1.037 -2.003 8.010
S 4.069 -0.110 1.570
S 6.226 -1.219 4.912
S 0.999 -7.570 -2.947
S -3.940 -1.691 6.486
S -5.784 -1.647 9.218
S 3.986 -3.105 0.193
S -1.241 -0.451 4.882
S 2.195 1.599 8.843
S 9.684 1.609 3.421
S -2.890 -4.188 4.274
S 0.641 -0.449 2.175
S 1.188 -6.190 3.981
S 5.562 -7.737 3.178
S -5.362 -9.797 4.638
S 0.212 -3.383 5.049
S 7.211 -3.999 3.786
S 0.252 -8.078 6.490
S 2.620 -7.471 1.306
S 8.262 -6.497 1.574
S 5.359 -6.185 0.050
S 2.127 -9.787 -0.783
S 4.109 -4.805 3.011
Be 9.174 -0.257 2.609
Be -4.852 -7.931 5.450
Be -0.129 -5.601 -2.505
Be -0.091 -1.639 6.174
Be 8.205 -4.442 1.993
Be 2.161 -4.094 4.030
Be 4.413 -6.549 1.886
Be 1.765 -7.902 5.047
Be 6.018 0.814 5.389
Be 0.000 0.000 0.000
Be 2.289 1.507 6.535
Be -3.616 -5.538 2.544
Be 5.777 1.444 1.486
Be 5.648 -4.157 -1.020
Be 1.920 -3.463 0.126
Be -1.696 -9.001 2.670
Be -3.488 0.063 5.050
Be 2.401 -4.725 7.934
Be 2.557 -0.286 3.013
Be -3.884 -3.745 6.067
Pu -0.525 -9.410 -1.488
Pu -1.236 -2.392 2.906
Pu 3.268 -7.303 -1.382
Pu 7.569 -7.620 -0.894
Pu 5.557 -5.796 5.154
Pu 0.112 -6.232 1.398
Pu 4.210 -1.956 6.662
Pu -1.060 -5.824 5.557
Pu 1.054 -0.885 9.441
Pu 4.846 1.222 9.548
Pu -3.247 -0.568 8.954
Pu 5.381 -2.364 2.503
CELL_PARAMETERS angstrom
-0.257 -11.203 -5.011
11.554 2.889 2.971
-6.976 0.126 10.100
```